A plane-wave DFT calculation with PBE with a Hubbard U was carried out for crystalline Hf2VO at its relaxed geometry.

Total magnetization   2.93 μB per formula unit
Uncorrected energy   -8.620 eV per atom

Cell: 6.4549 6.4549 7.2411 Å, 90.00 90.00 90.00°
Last column: nearest neighbours and their distance in Å.
Fractional positions:
Hf1 0.1415 0.2500 0.1250  2 O 2.06
Hf2 0.2500 0.6415 0.3750  2 O 2.06
Hf3 0.2500 0.8585 0.8750  2 O 2.06
Hf4 0.3585 0.2500 0.6250  2 O 2.06
Hf5 0.6415 0.7500 0.6250  2 O 2.06
Hf6 0.7500 0.1415 0.8750  2 O 2.06
Hf7 0.7500 0.3585 0.3750  2 O 2.06
Hf8 0.8585 0.7500 0.1250  2 O 2.06
V1 0.0000 0.0000 0.5000  8 Hf 2.96-3.29
V2 0.0000 0.5000 0.7500  8 Hf 2.96-3.29
V3 0.5000 0.0000 0.2500  8 Hf 2.96-3.29
V4 0.5000 0.5000 0.0000  8 Hf 2.96-3.29
O1 0.0000 0.0000 0.0000  4 Hf 2.06
O2 0.0000 0.5000 0.2500  4 Hf 2.06
O3 0.5000 0.0000 0.7500  4 Hf 2.06
O4 0.5000 0.5000 0.5000  4 Hf 2.06